DFT (PBE) results for crystalline BC at its relaxed geometry.

Properties
Crystal system = tetragonal
Final energy = -0.2783 Ha/atom
Total moment = 0.001 μB per atom
Symmetry = P-4m2, No. 115

abc: 2.4690 2.4690 13.0999
angles: 90.00 90.00 90.00
Fractional positions:
B  0.0000  0.0000  0.1817
B  0.0000  0.0000  0.8183
B  0.0000  0.5000  0.0788
B  0.0000  0.5000  0.7183
B  0.5000  0.0000  0.2817
B  0.5000  0.0000  0.9212
C  0.0000  0.0000  0.5000
C  0.0000  0.5000  0.4301
C  0.5000  0.0000  0.5699
C  0.5000  0.5000  0.0000
C  0.5000  0.5000  0.3633
C  0.5000  0.5000  0.6367